Entry 1:
A relaxed structure of Pm12YEr7, computed with GGA-PBE.

DFT formation energy, eV per atom: 0.28
Energy above the most stable polymorph in this dataset, meV per atom: 33.3

Cell: 8.8074 8.8074 8.8074 Å, 94.27 94.27 94.27°
Last column: nearest neighbours and their distance in Å.
Atoms (fractional coordinates):
Pm (0.0239, 0.0887, 0.3543)  2 Er 3.12-3.15, 2 Pm 3.14-3.40
Pm (0.0887, 0.3543, 0.0239)  2 Er 3.12-3.15, 2 Pm 3.14-3.40
Pm (0.1836, 0.7497, 0.3169)  3 Er 3.36-3.63, 3 Pm 3.40-3.71
Pm (0.2503, 0.6831, 0.8164)  3 Er 3.36-3.63, 3 Pm 3.40-3.71
Pm (0.3169, 0.1836, 0.7497)  3 Er 3.36-3.63, 3 Pm 3.40-3.71
Pm (0.3543, 0.0239, 0.0887)  2 Er 3.12-3.15, 2 Pm 3.14-3.40
Pm (0.6457, 0.9761, 0.9113)  2 Er 3.12-3.15, 2 Pm 3.14-3.40
Pm (0.6831, 0.8164, 0.2503)  3 Er 3.36-3.63, 3 Pm 3.40-3.71
Pm (0.7497, 0.3169, 0.1836)  3 Er 3.36-3.63, 3 Pm 3.40-3.71
Pm (0.8164, 0.2503, 0.6831)  3 Er 3.36-3.63, 3 Pm 3.40-3.71
Pm (0.9113, 0.6457, 0.9761)  2 Er 3.12-3.15, 2 Pm 3.14-3.40
Pm (0.9761, 0.9113, 0.6457)  2 Er 3.12-3.15, 2 Pm 3.14-3.40
Y (0.5000, 0.5000, 0.5000)  6 Er 3.09
Er (0.0000, 0.0000, 0.0000)  6 Pm 3.15
Er (0.1520, 0.4178, 0.4813)  1 Y 3.09, 2 Pm 3.12-3.36, 1 Er 3.16
Er (0.4178, 0.4813, 0.1520)  1 Y 3.09, 2 Pm 3.12-3.36, 1 Er 3.16
Er (0.4813, 0.1520, 0.4178)  1 Y 3.09, 2 Pm 3.12-3.36, 1 Er 3.16
Er (0.5187, 0.8480, 0.5822)  1 Y 3.09, 2 Pm 3.12-3.36, 1 Er 3.16
Er (0.5822, 0.5187, 0.8480)  1 Y 3.09, 2 Pm 3.12-3.36, 1 Er 3.16
Er (0.8480, 0.5822, 0.5187)  1 Y 3.09, 2 Pm 3.12-3.36, 1 Er 3.16

***

Entry 2:
A relaxed structure of LiSmYZn, computed with GGA-PBE.

DFT formation energy, eV per atom: -0.13
Energy above the most stable polymorph in this dataset, meV per atom: 0.0

Cell: 3.6666 3.6666 7.4053 Å, 90.00 90.00 90.00°
Last column: nearest neighbours and their distance in Å.
Atoms (fractional coordinates):
Li (0.0000, 0.0000, 0.0000)  4 Y 3.24, 4 Sm 3.28, 1 Zn 3.62
Sm (0.5000, 0.5000, 0.2722)  4 Zn 3.14, 4 Li 3.28, 1 Y 3.45
Y (0.5000, 0.5000, 0.7377)  4 Zn 3.09, 4 Li 3.24, 1 Sm 3.45
Zn (0.0000, 0.0000, 0.5112)  4 Y 3.09, 4 Sm 3.14

***

Entry 3:
A relaxed structure of Dy2Sc3Hg2, computed with GGA-PBE.

DFT formation energy, eV per atom: -0.22

Cell: 5.9587 5.9587 7.6931 Å, 111.58 111.58 46.44°
Last column: nearest neighbours and their distance in Å.
Atoms (fractional coordinates):
Dy (0.1292, 0.1292, 0.2693)  4 Hg 3.19-3.29, 6 Sc 3.40-3.56
Dy (0.8708, 0.8708, 0.7307)  4 Hg 3.19-3.29, 6 Sc 3.40-3.56
Sc (0.3696, 0.3696, 0.0492)  3 Hg 2.81-3.13
Sc (0.5000, 0.5000, 0.5000)  4 Hg 2.92, 2 Sc 3.18
Sc (0.6304, 0.6304, 0.9508)  3 Hg 2.81-3.13
Hg (0.1517, 0.1517, 0.6964)  5 Sc 2.81-3.13
Hg (0.8483, 0.8483, 0.3036)  5 Sc 2.81-3.13